Crystalline NbTlOs3 at its relaxed geometry. Source: Alexandria via LeMat-Bulk, functional GGA-PBE.

The structure belongs to space group Pm-3m (No. 221); the cell edges are 4.803, 4.803 and 4.803 Å and the angles 90.00°, 90.00° and 90.00°. The asymmetric unit holds Nb at (0.000, 0.000, 0.000), Tl at (0.500, 0.500, 0.500) and Os at (0.000, 0.500, 0.500).

For the energy of formation, the calculation gives 293 kJ/mol of atoms. The value obtained for the excess energy over the best structure of this formula in the dataset is 858 meV/atom. Its electronic total energy is -30.96 eV/cell.


Crystalline NbTl2Os at its relaxed geometry. Source: Alexandria via LeMat-Bulk, functional GGA-PBE.

The structure belongs to space group Fm-3m (No. 225); the cell edges are 6.757, 6.757 and 6.757 Å and the angles 90.00°, 90.00° and 90.00°. The asymmetric unit holds Nb at (0.000, 0.000, 0.000), Tl at (0.250, 0.250, 0.250) and Os at (0.000, 0.000, 0.500).

For the energy of formation, the calculation gives 86 kJ/mol of atoms. The value obtained for the excess energy over the best structure of this formula in the dataset is 0 meV/atom. Its electronic total energy is -89.91 eV/cell.


Crystalline NbTlOs3 at its relaxed geometry. Source: Alexandria via LeMat-Bulk, functional GGA-PBE.

The structure belongs to space group Pm-3m (No. 221); the cell edges are 4.814, 4.814 and 4.814 Å and the angles 90.00°, 90.00° and 90.00°. The asymmetric unit holds Nb at (0.000, 0.000, 0.000), Tl at (0.500, 0.500, 0.500) and Os at (0.000, 0.000, 0.500).

For the energy of formation, the calculation gives 210 kJ/mol of atoms. The value obtained for the excess energy over the best structure of this formula in the dataset is 0 meV/atom. Its electronic total energy is -35.25 eV/cell.


Crystalline Zr2NbTlOs at its relaxed geometry. Source: Alexandria via LeMat-Bulk, functional GGA-PBE.

The structure belongs to space group P4/mmm (No. 123); the cell edges are 5.162, 5.162 and 4.732 Å and the angles 90.00°, 90.00° and 90.00°. The asymmetric unit holds Zr at (0.000, 0.500, 0.000), Nb at (0.000, 0.000, 0.000), Tl at (0.500, 0.500, 0.500) and Os at (0.000, 0.000, 0.500).

For the energy of formation, the calculation gives 100 kJ/mol of atoms. Its electronic total energy is -35.59 eV/cell.


Crystalline TmNbOs4 at its relaxed geometry. Source: Alexandria via LeMat-Bulk, functional GGA-PBE.

The structure belongs to space group F-43m (No. 216); the cell edges are 7.409, 7.409 and 7.409 Å and the angles 90.00°, 90.00° and 90.00°. The asymmetric unit holds Tm at (0.000, 0.000, 0.000), Nb at (0.250, 0.250, 0.250) and Os at (0.125, 0.125, 0.625).

For the energy of formation, the calculation gives -12 kJ/mol of atoms. Its electronic total energy is -240.92 eV/cell.


Crystalline TmNbOs2 at its relaxed geometry. Source: Alexandria via LeMat-Bulk, functional GGA-PBE.

The structure belongs to space group P4/mmm (No. 123); the cell edges are 3.234, 3.234 and 6.723 Å and the angles 90.00°, 90.00° and 90.00°. The asymmetric unit holds Tm at (0.000, 0.000, 0.000), Nb at (0.000, 0.000, 0.500) and Os at (0.500, 0.500, 0.272).

For the energy of formation, the calculation gives -27 kJ/mol of atoms. The value obtained for the excess energy over the best structure of this formula in the dataset is 0 meV/atom. Its electronic total energy is -38.12 eV/cell.


Crystalline TmNbOs2 at its relaxed geometry. Source: Alexandria via LeMat-Bulk, functional GGA-PBE.

The structure belongs to space group Fm-3m (No. 225); the cell edges are 6.526, 6.526 and 6.526 Å and the angles 90.00°, 90.00° and 90.00°. The asymmetric unit holds Tm at (0.000, 0.000, 0.000), Nb at (0.000, 0.000, 0.500) and Os at (0.250, 0.250, 0.250).

For the energy of formation, the calculation gives -23 kJ/mol of atoms. The value obtained for the excess energy over the best structure of this formula in the dataset is 37 meV/atom. Its electronic total energy is -151.89 eV/cell.


Crystalline UNbOs at its relaxed geometry. Source: Alexandria via LeMat-Bulk, functional GGA-PBE.

The structure belongs to space group P4/nmm (No. 129, origin choice 2); the cell edges are 3.762, 3.762 and 7.960 Å and the angles 90.00°, 90.00° and 90.00°. The asymmetric unit holds U at (0.250, 0.750, 0.000), Nb at (0.250, 0.250, 0.372) and Os at (0.250, 0.250, 0.700).

For the energy of formation, the calculation gives 21 kJ/mol of atoms. The value obtained for the excess energy over the best structure of this formula in the dataset is 73 meV/atom. Its electronic total energy is -63.88 eV/cell.


Crystalline UNb2Os at its relaxed geometry. Source: Alexandria via LeMat-Bulk, functional GGA-PBE.

The structure belongs to space group Fm-3m (No. 225); the cell edges are 6.590, 6.590 and 6.590 Å and the angles 90.00°, 90.00° and 90.00°. The asymmetric unit holds U at (0.000, 0.000, 0.000), Nb at (0.250, 0.250, 0.250) and Os at (0.000, 0.000, 0.500).

For the energy of formation, the calculation gives 10 kJ/mol of atoms. The value obtained for the excess energy over the best structure of this formula in the dataset is 34 meV/atom. Its electronic total energy is -168.99 eV/cell.


Crystalline U2NbOs at its relaxed geometry. Source: Alexandria via LeMat-Bulk, functional GGA-PBE.

The structure belongs to space group Fm-3m (No. 225); the cell edges are 6.831, 6.831 and 6.831 Å and the angles 90.00°, 90.00° and 90.00°. The asymmetric unit holds U at (0.250, 0.250, 0.250), Nb at (0.000, 0.000, 0.000) and Os at (0.000, 0.000, 0.500).

For the energy of formation, the calculation gives 23 kJ/mol of atoms. Its electronic total energy is -171.66 eV/cell.


Crystalline UNbOs at its relaxed geometry. Source: Alexandria via LeMat-Bulk, functional GGA-PBE.

The structure belongs to space group I4mm (No. 107); the cell edges are 3.506, 3.506 and 9.006 Å and the angles 90.00°, 90.00° and 90.00°. The asymmetric unit holds U at (0.000, 0.000, 0.000), Nb at (0.000, 0.000, 0.314) and Os at (0.000, 0.000, 0.644).

For the energy of formation, the calculation gives 14 kJ/mol of atoms. The value obtained for the excess energy over the best structure of this formula in the dataset is 0 meV/atom. Its electronic total energy is -64.32 eV/cell.


Crystalline UNb2Os at its relaxed geometry. Source: Alexandria via LeMat-Bulk, functional GGA-PBE.

The structure belongs to space group P4/mmm (No. 123); the cell edges are 3.879, 3.879 and 4.983 Å and the angles 90.00°, 90.00° and 90.00°. The asymmetric unit holds U at (0.000, 0.000, 0.000), Nb at (0.000, 0.500, 0.500) and Os at (0.500, 0.500, 0.000).

For the energy of formation, the calculation gives 10 kJ/mol of atoms. The value obtained for the excess energy over the best structure of this formula in the dataset is 35 meV/atom. Its electronic total energy is -42.24 eV/cell.